Compound: Sn3PO
Source: the Alexandria database
Functional: GGA-PBE
Structure: relaxed

Summary:
The excess energy over the best structure of this formula in the dataset comes out at 0 meV per atom. Its energy is -4.512 eV/atom.

Geometry as POSCAR:
```
Sn3PO
1.0
4.844 0.000 0.000
0.000 4.844 0.000
0.000 0.000 4.844
Sn P O
3 1 1
Cartesian
0.000 0.000 2.422
0.000 2.422 0.000
2.422 0.000 0.000
2.422 2.422 2.422
0.000 0.000 0.000
```


Compound: SnP2O6
Source: the Alexandria database
Functional: GGA-PBE
Structure: relaxed

Summary:
The excess energy over the best structure of this formula in the dataset comes out at 11 meV per atom. Its energy is -6.922 eV/atom.

Geometry as POSCAR:
```
SnP2O6
1.0
4.739 -5.775 0.000
4.739 5.775 0.000
0.000 0.000 11.442
Sn P O
4 8 24
Cartesian
3.119 3.219 6.304
6.359 3.219 10.859
3.119 -3.219 5.138
6.359 -3.219 0.583
0.880 0.000 5.721
2.699 0.880 3.562
2.699 -0.880 7.880
4.739 1.145 8.582
4.739 -1.145 2.861
6.779 0.880 2.159
6.779 -0.880 9.284
8.598 0.000 0.000
1.720 1.587 2.674
4.602 4.473 11.329
4.876 4.473 5.834
1.862 0.209 6.977
1.862 -0.209 4.466
3.644 1.649 4.429
4.560 1.896 7.288
1.720 -1.587 8.769
3.486 0.171 8.840
4.918 1.896 9.876
3.486 -0.171 2.602
5.834 1.649 1.292
3.644 -1.649 7.013
5.992 0.171 8.323
4.560 -1.896 4.154
5.992 -0.171 3.119
7.758 1.587 3.047
4.918 -1.896 1.567
5.834 -1.649 10.151
7.616 0.209 10.187
7.616 -0.209 1.255
4.602 -4.473 0.113
4.876 -4.473 5.608
7.758 -1.587 8.395
```


Compound: Sn2PO5
Source: the Alexandria database
Functional: GGA-PBE
Structure: relaxed

Summary:
Its energy is -6.252 eV/atom.

Geometry as POSCAR:
```
Sn2PO5
1.0
-2.719 2.719 4.137
2.719 -2.719 4.137
2.719 2.719 -4.137
Sn P O
2 1 5
Cartesian
2.719 0.000 0.000
0.000 2.719 0.000
0.000 0.000 2.593
0.000 0.000 1.037
1.560 1.560 -1.080
1.159 -1.159 3.056
-1.159 1.159 3.056
1.159 1.159 3.056
```


Compound: Sn2P2O7
Source: the Alexandria database
Functional: GGA-PBE
Structure: relaxed

Summary:
The excess energy over the best structure of this formula in the dataset comes out at 2 meV per atom. Its energy is -6.792 eV/atom.

Geometry as POSCAR:
```
Sn2P2O7
1.0
7.385 0.000 0.000
-3.347 6.620 0.000
-2.449 -2.380 7.908
Sn P O
4 4 14
Cartesian
-0.857 0.428 2.617
-1.860 1.900 6.864
3.449 2.341 1.044
2.446 3.812 5.291
-1.914 5.210 1.247
0.384 3.762 2.395
1.205 0.479 5.514
3.504 -0.969 6.662
-2.758 0.015 6.307
-3.802 2.650 7.740
0.988 0.035 1.519
-0.377 2.519 2.838
0.168 -0.010 4.511
-0.683 4.975 2.282
1.039 3.605 0.992
0.550 0.636 6.916
2.272 -0.735 5.627
1.421 4.251 3.398
1.966 1.721 5.070
0.602 4.206 6.389
5.391 1.590 0.169
4.347 4.226 1.602
```